Entry from Alexandria: a relaxed structure of K2Tm2CrO6 (PBE with a Hubbard U).

The magnetic moment comes out at 3.9 μB per cell. The calculation puts the final energy at -6.870 eV per atom.

a = 5.6790 Å, b = 9.6576 Å, c = 6.5676 Å
α = 90.00°, β = 105.74°, γ = 90.00°
Closest atoms and distances in Å follow each position.
Space group C2/m (No. 12)
One atom of each set of equivalent atoms:
K: 0.0000 0.1628 0.0000 [4 per cell]  6 O 2.73-2.98
Tm: 0.0000 0.3360 0.5000 [4 per cell]  6 O 2.22-2.26
Cr: 0.0000 0.0000 0.5000 [2 per cell]  6 O 1.99-2.05
O: 0.2003 0.1509 0.6670 [8 per cell]  1 Cr 1.99
O: 0.2503 0.0000 0.3271 [4 per cell]  1 Cr 2.05, 2 Tm 2.22